Record 1
Density functional theory data (PBE) for a geometry-optimized La2CdRhO5 structure.

## Properties
Its crystal system is tetragonal. The calculation puts the density of states at the Fermi level at 0.756 states/eV/atom. As for the formation energy from raw total energies: -18.1 eV/f.u. As for the volume: 278.2 Å³/cell. For the calculated density, the calculation gives 6.8 g cm⁻³.

a b c (Å): 6.9688 6.9688 5.7281
angles (deg): 90.00 90.00 90.00
Closest atoms and distances in Å follow each position.
Space group P4/mbm (No. 127)
Inequivalent atoms, fractional coordinates:
La: 0.1753 0.3247 0.0000 x4  4 O 2.33-2.57
Cd: 0.0000 0.0000 0.5000 x2  10 O 2.86-3.04
Rh: 0.0000 0.5000 0.5000 x2  4 O 1.98
O: 0.0000 0.0000 0.0000 x2  4 La 2.57, 2 Cd 2.86
O: 0.1402 0.6402 0.2531 x8  1 Rh 1.98

Record 2
Density functional theory data (PBE) for a geometry-optimized La2CdRhO6 structure.

## Properties
Its crystal system is monoclinic. The calculation puts the density of states at the Fermi level at 0.714 states/eV/atom. As for the formation energy from raw total energies: -21.6 eV/f.u. As for the volume: 278.6 Å³/cell. For the calculated density, the calculation gives 7.0 g cm⁻³.

a b c (Å): 5.6613 6.0350 9.9136
angles (deg): 90.00 124.67 90.00
Closest atoms and distances in Å follow each position.
Space group P2_1/c (No. 14)
Inequivalent atoms, fractional coordinates:
La: 0.2320 0.0656 0.2515 x4  5 O 2.38-2.65
Cd: 0.5000 0.0000 0.0000 x2  6 O 2.29-2.33
Rh: 0.0000 0.0000 0.5000 x2  6 O 2.04-2.05
O: 0.1039 0.2138 0.9329 x4  1 Rh 2.05
O: 0.2401 0.6793 0.9453 x4  1 Rh 2.04
O: 0.3507 0.0496 0.7331 x4  1 Rh 2.04

Record 3
Density functional theory data (PBE) for a geometry-optimized LaCd2SbO6 structure.

## Properties
Its crystal system is monoclinic. The calculation puts the density of states at the Fermi level at 0.000 states/eV/atom. As for the formation energy from raw total energies: -18.2 eV/f.u. As for the volume: 283.0 Å³/cell. For the calculated density, the calculation gives 6.8 g cm⁻³.

a b c (Å): 5.7396 5.8905 10.1347
angles (deg): 90.00 124.31 90.00
Closest atoms and distances in Å follow each position.
Space group P2_1/c (No. 14)
Inequivalent atoms, fractional coordinates:
La: 0.0000 0.0000 0.0000 x2  6 O 2.32-2.49
Cd: 0.2373 0.0330 0.7357 x4  4 O 2.27-2.33
Sb: 0.5000 0.0000 0.5000 x2  6 O 1.99-2.05
O: 0.1613 0.0943 0.2792 x4  1 Sb 2.05
O: 0.2442 0.6636 0.0422 x4  1 Sb 1.99
O: 0.4304 0.2162 0.0879 x4  1 Sb 2.04, 1 Cd 2.27

Record 4
Density functional theory data (PBE) for a geometry-optimized La2ScCdO structure.

## Properties
Its crystal system is tetragonal. The calculation puts the density of states at the Fermi level at 1.235 states/eV/atom. As for the formation energy from raw total energies: -6.5 eV/f.u. As for the volume: 119.9 Å³/cell. For the calculated density, the calculation gives 6.2 g cm⁻³.

a b c (Å): 5.3024 5.3024 4.2651
angles (deg): 90.00 90.00 90.00
Closest atoms and distances in Å follow each position.
Space group P4/mmm (No. 123)
Inequivalent atoms, fractional coordinates:
La: 0.0000 0.5000 0.0000 x2  2 O 2.65
Sc: 0.0000 0.0000 0.5000 x1  2 O 2.13
Cd: 0.5000 0.5000 0.5000 x1  8 La 3.40, 4 Sc 3.75
O: 0.0000 0.0000 0.0000 x1  2 Sc 2.13

Record 5
Density functional theory data (PBE) for a geometry-optimized La2CdSe2O2 structure.

## Properties
Its crystal system is tetragonal. The calculation puts the density of states at the Fermi level at 0.000 states/eV/atom. As for the formation energy from raw total energies: -16.9 eV/f.u. As for the volume: 316.7 Å³/cell. For the calculated density, the calculation gives 6.1 g cm⁻³.

a b c (Å): 4.0942 4.0942 18.8927
angles (deg): 90.00 90.00 90.00
Closest atoms and distances in Å follow each position.
Space group P4_2/nmc (No. 137, origin choice 2)
Inequivalent atoms, fractional coordinates:
La: 0.2500 0.2500 0.0648 x4  4 O 2.37-2.40
Cd: 0.2500 0.7500 0.2500 x2  4 Se 2.70
Se: 0.2500 0.2500 0.3432 x4  2 Cd 2.70
O: 0.2500 0.7500 0.0011 x4  4 La 2.37-2.40

Record 6
Density functional theory data (PBE) for a geometry-optimized La2CdSiO6 structure.

## Properties
Its crystal system is tetragonal. The calculation puts the density of states at the Fermi level at 0.000 states/eV/atom. As for the formation energy from raw total energies: -26.8 eV/f.u. As for the volume: 141.2 Å³/cell. For the calculated density, the calculation gives 6.0 g cm⁻³.

a b c (Å): 5.4180 5.4180 4.8110
angles (deg): 90.00 90.00 90.00
Closest atoms and distances in Å follow each position.
Space group P4mm (No. 99)
Inequivalent atoms, fractional coordinates:
La: 0.0000 0.5000 0.0000 x2  4 O 2.42
Cd: 0.0000 0.0000 0.5425 x1  5 O 2.15-2.27
Si: 0.5000 0.5000 0.5863 x1  5 O 1.67-1.77
O: 0.0000 0.0000 0.0956 x1  1 Cd 2.15
O: 0.2800 0.2800 0.6972 x4  1 Si 1.77
O: 0.5000 0.5000 0.2385 x1  1 Si 1.67

Record 7
Density functional theory data (PBE) for a geometry-optimized LaSm2CdO structure.

## Properties
Its crystal system is tetragonal. The calculation puts the density of states at the Fermi level at 0.745 states/eV/atom. As for the formation energy from raw total energies: -6.5 eV/f.u. As for the volume: 123.3 Å³/cell. For the calculated density, the calculation gives 7.6 g cm⁻³.

a b c (Å): 4.9438 4.9438 5.0461
angles (deg): 90.00 90.00 90.00
Closest atoms and distances in Å follow each position.
Space group P4/mmm (No. 123)
Inequivalent atoms, fractional coordinates:
La: 0.0000 0.0000 0.0000 x1  2 O 2.52
Sm: 0.0000 0.5000 0.5000 x2  2 O 2.47
Cd: 0.5000 0.5000 0.0000 x1  4 La 3.50, 8 Sm 3.53
O: 0.0000 0.0000 0.5000 x1  4 Sm 2.47, 2 La 2.52

Record 8
Density functional theory data (PBE) for a geometry-optimized SrLa2CdO structure.

## Properties
Its crystal system is tetragonal. The calculation puts the density of states at the Fermi level at 1.108 states/eV/atom. As for the formation energy from raw total energies: -6.1 eV/f.u. As for the volume: 135.8 Å³/cell. For the calculated density, the calculation gives 6.0 g cm⁻³.

a b c (Å): 5.0785 5.0785 5.2649
angles (deg): 90.00 90.00 90.00
Closest atoms and distances in Å follow each position.
Space group P4/mmm (No. 123)
Inequivalent atoms, fractional coordinates:
Sr: 0.0000 0.0000 0.0000 x1  2 O 2.63
La: 0.0000 0.5000 0.5000 x2  2 O 2.54
Cd: 0.5000 0.5000 0.0000 x1  4 Sr 3.59, 8 La 3.66
O: 0.0000 0.0000 0.5000 x1  4 La 2.54, 2 Sr 2.63

Record 9
Density functional theory data (PBE) for a geometry-optimized LaTb2CdO structure.

## Properties
Its crystal system is tetragonal. The calculation puts the density of states at the Fermi level at 0.621 states/eV/atom. As for the formation energy from raw total energies: -6.5 eV/f.u. As for the volume: 118.6 Å³/cell. For the calculated density, the calculation gives 8.2 g cm⁻³.

a b c (Å): 4.8525 4.8525 5.0379
angles (deg): 90.00 90.00 90.00
Closest atoms and distances in Å follow each position.
Space group P4/mmm (No. 123)
Inequivalent atoms, fractional coordinates:
La: 0.0000 0.0000 0.0000 x1  2 O 2.52
Tb: 0.0000 0.5000 0.5000 x2  2 O 2.43
Cd: 0.5000 0.5000 0.0000 x1  4 La 3.43, 8 Tb 3.50
O: 0.0000 0.0000 0.5000 x1  4 Tb 2.43, 2 La 2.52

Record 10
Density functional theory data (PBE) for a geometry-optimized LaCdTc2O8 structure.

## Properties
Its crystal system is tetragonal. The calculation puts the density of states at the Fermi level at 0.513 states/eV/atom. As for the formation energy from raw total energies: -20.9 eV/f.u. As for the volume: 332.4 Å³/cell. For the calculated density, the calculation gives 5.7 g cm⁻³.

a b c (Å): 5.3262 5.3262 11.7182
angles (deg): 90.00 90.00 90.00
Closest atoms and distances in Å follow each position.
Space group I-4 (No. 82)
Inequivalent atoms, fractional coordinates:
La: 0.0000 0.0000 0.0000 x2  8 O 2.47-2.55
Cd: 0.0000 0.5000 0.7500 x2  8 O 2.46-2.52
Tc: 0.0000 0.0000 0.5000 x2  4 O 1.83
Tc: 0.0000 0.5000 0.2500 x2  4 O 1.82
O: 0.1534 0.2499 0.5812 x8  1 Tc 1.83
O: 0.1584 0.7443 0.1692 x8  1 Tc 1.82

Record 11
Density functional theory data (PBE) for a geometry-optimized LaTi2CdO structure.

## Properties
Its crystal system is tetragonal. The calculation puts the density of states at the Fermi level at 1.958 states/eV/atom. As for the formation energy from raw total energies: 2.9 eV/f.u. As for the volume: 117.1 Å³/cell. For the calculated density, the calculation gives 5.1 g cm⁻³.

a b c (Å): 5.2545 5.2545 4.2429
angles (deg): 90.00 90.00 90.00
Closest atoms and distances in Å follow each position.
Space group P4/mmm (No. 123)
Inequivalent atoms, fractional coordinates:
La: 0.0000 0.0000 0.0000 x1  2 O 2.12
Ti: 0.0000 0.5000 0.0000 x2  2 La 2.63
Cd: 0.5000 0.5000 0.5000 x1  8 Ti 3.38, 4 O 3.72
O: 0.0000 0.0000 0.5000 x1  2 La 2.12

Record 12
Density functional theory data (PBE) for a geometry-optimized La12Tl4CdO3 structure.

## Properties
Its crystal system is cubic. The calculation puts the density of states at the Fermi level at 0.925 states/eV/atom. As for the formation energy from raw total energies: -18.6 eV/f.u. As for the volume: 1187.7 Å³/cell. For the calculated density, the calculation gives 7.4 g cm⁻³.

a b c (Å): 10.5901 10.5901 10.5901
angles (deg): 90.00 90.00 90.00
Closest atoms and distances in Å follow each position.
Space group Im-3m (No. 229)
Inequivalent atoms, fractional coordinates:
La: 0.0000 0.0000 0.2761 x12  1 O 2.37
La: 0.0000 0.2500 0.5000 x12  2 O 2.65
Tl: 0.2500 0.2500 0.2500 x8  12 La 3.74-3.75
Cd: 0.0000 0.0000 0.0000 x2  6 La 2.92
O: 0.0000 0.0000 0.5000 x6  6 La 2.37-2.65

Record 13
Density functional theory data (PBE) for a geometry-optimized LaTlCdO2 structure.

## Properties
Its crystal system is tetragonal. The calculation puts the density of states at the Fermi level at 0.651 states/eV/atom. As for the formation energy from raw total energies: 0.7 eV/f.u. As for the volume: 124.7 Å³/cell. For the calculated density, the calculation gives 6.5 g cm⁻³.

a b c (Å): 4.5159 4.5159 6.1162
angles (deg): 90.00 90.00 90.00
Closest atoms and distances in Å follow each position.
Space group P4/mmm (No. 123)
Inequivalent atoms, fractional coordinates:
La: 0.0000 0.0000 0.0000 x1  2 Tl 3.06, 4 Cd 3.19
Tl: 0.0000 0.0000 0.5000 x1  4 O 2.26
Cd: 0.5000 0.5000 0.0000 x1  4 La 3.19
O: 0.0000 0.5000 0.5000 x2  2 Tl 2.26